Entry from Alexandria: a relaxed SiAg2Pd2 crystal (PBE).

The energy above the most stable polymorph in this dataset is 604 meV per atom. The formation energy (no corrections) is 0.427 eV/atom. Its crystal system is tetragonal.

The space group is I4/mmm (No. 139) and the conventional cell measures 3.6532, 3.6532 and 13.9167 Å, with angles of 90.00, 90.00 and 90.00 degrees. The asymmetric unit holds Si at (0.0000, 0.0000, 0.0000), Ag at (0.0000, 0.0000, 0.4026) and Pd at (0.0000, 0.5000, 0.2500).


Entry from Alexandria: a relaxed Ac3Ga2Au7 crystal (PBE).

Its crystal system is tetragonal. The energy of formation from the pure elements comes out at -674.9 kJ/mol of formula units.

The space group is I4/mmm (No. 139) and the conventional cell measures 4.5495, 4.5495 and 28.9770 Å, with angles of 90.00, 90.00 and 90.00 degrees. The asymmetric unit holds Ac at (0.0000, 0.0000, 0.0000), Ac at (0.0000, 0.0000, 0.1743), Ga at (0.0000, 0.0000, 0.3748), Au at (0.0000, 0.0000, 0.2839), Au at (0.0000, 0.0000, 0.5000) and Au at (0.0000, 0.5000, 0.0819).


Entry from Alexandria: a relaxed BaZrMo3 crystal (PBE).

The energy above the most stable polymorph in this dataset is 974 meV per atom. Its crystal system is cubic. The energy of formation from the pure elements comes out at 1311.5 kJ/mol of formula units.

The space group is Pm-3m (No. 221) and the conventional cell measures 4.9385, 4.9385 and 4.9385 Å, with angles of 90.00, 90.00 and 90.00 degrees. The asymmetric unit holds Ba at (0.0000, 0.0000, 0.0000), Zr at (0.5000, 0.5000, 0.5000) and Mo at (0.0000, 0.0000, 0.5000).


Entry from Alexandria: a relaxed CsGa3Si crystal (PBE).

The energy above the most stable polymorph in this dataset is 0 meV per atom. The formation energy (no corrections) is -0.028 eV/atom. Its crystal system is monoclinic.

The space group is P2_1 (No. 4) and the conventional cell measures 7.6655, 4.3305 and 8.9048 Å, with angles of 90.00, 112.51 and 90.00 degrees. The asymmetric unit holds Cs at (0.2453, 0.0000, 0.4952), Ga at (0.0869, 0.0694, 0.8702), Ga at (0.2525, 0.4397, 0.1485), Ga at (0.4245, 0.9320, 0.1287) and Si at (0.2500, 0.5675, 0.8556).


Entry from Alexandria: a relaxed TaNiPt6 crystal (PBE).

The energy above the most stable polymorph in this dataset is 516 meV per atom. Its crystal system is trigonal. The energy of formation from the pure elements comes out at 95.7 kJ/mol of formula units.

The space group is R-3m (No. 166, hexagonal axes) and the conventional cell measures 7.2877, 7.2877 and 9.2707 Å, with angles of 90.00, 90.00 and 120.00 degrees. The asymmetric unit holds Ta at (0.0000, 0.0000, 0.0000), Ni at (0.0000, 0.0000, 0.5000) and Pt at (0.0856, 0.5428, 0.3695).